Material: Ca3Ga3Si2
Method: DFT, GGA-PBE
State: optimized geometry

Results
formation energy (no corrections)	-0.468	eV per atom
space group	Cmcm, No. 63

Cell: 4.069 6.068 15.843 Å, 90.00 90.00 109.59°
Fractional coordinates of all 16 atoms:
1 Ca 0.849 0.698 0.408
2 Ca 0.151 0.302 0.908
3 Ca 0.849 0.698 0.092
4 Ca 0.151 0.302 0.592
5 Ca 0.554 0.108 0.250
6 Ca 0.446 0.892 0.750
7 Ga 0.570 0.140 0.443
8 Ga 0.430 0.860 0.943
9 Ga 0.570 0.140 0.057
10 Ga 0.430 0.860 0.557
11 Ga 0.283 0.566 0.250
12 Ga 0.717 0.434 0.750
13 Si 0.853 0.705 0.881
14 Si 0.147 0.295 0.381
15 Si 0.853 0.705 0.619
16 Si 0.147 0.295 0.119

Material: DyThNiRu
Method: DFT, GGA-PBE
State: optimized geometry

Results
formation energy from the elements	-46.7	kJ per mole of atoms
relative energy among the computed polymorphs	0	meV per atom
space group	Amm2, No. 38

Cell: 3.853 4.062 5.790 Å, 90.00 109.43 90.00°
Fractional coordinates of all 4 atoms:
1 Dy 0.140 0.000 0.279
2 Th 0.864 0.500 0.727
3 Ni 0.582 0.500 0.163
4 Ru 0.415 0.000 0.830

Material: NaPrAlAg
Method: DFT, GGA-PBE
State: optimized geometry

Results
formation energy from the elements	-6.5	kJ per mole of atoms
space group	F-43m, No. 216

Cell: 5.194 5.194 5.194 Å, 60.00 60.00 60.00°
Fractional coordinates of all 4 atoms:
1 Pr 0.000 0.000 0.000
2 Na 0.500 0.500 0.500
3 Al 0.750 0.750 0.750
4 Ag 0.250 0.250 0.250

Material: KNiCl
Method: DFT, GGA-PBE
State: optimized geometry

Results
formation energy (no corrections)	0.197	eV per atom
relative energy among the computed polymorphs	812	meV per atom
space group	F-43m, No. 216

Cell: 4.632 4.632 4.632 Å, 60.00 60.00 60.00°
Each line ends with the local moment (μB).
Fractional coordinates of all 3 atoms:
1 Ni 0.500 0.500 0.500  0.22
2 K 0.250 0.250 0.250  -0.01
3 Cl 0.750 0.750 0.750  0.01

Number 1: total magnetic moment 0.000 μB per atom. Number 2: total magnetic moment 0.000 μB per atom. Number 3: total magnetic moment 0.000 μB per atom. Number 4: total magnetic moment 0.063 μB per atom.